# Ce2Ga3Ge2 GGA-PBE optimized geometry
# Energy of formation from the pure elements   -0.427 eV/atom
# Final energy   -4.739 eV per atom
data_Ce2Ga3Ge2
_chemical_formula_sum 'Ce4 Ga6 Ge4'
_symmetry_space_group_name_H-M 'C m m m'
_symmetry_Int_Tables_number 65
_symmetry_space_group_name_Hall '-C 2 2'
_cell_length_a 4.5554
_cell_length_b 19.1739
_cell_length_c 3.4432
_cell_angle_alpha 90.00
_cell_angle_beta 90.00
_cell_angle_gamma 90.00
loop_
_atom_site_label
_atom_site_fract_x
_atom_site_fract_y
_atom_site_fract_z
_atom_site_occupancy
Ce1 0.0000 0.1410 0.0000 1
Ga1 0.0000 0.0000 0.5000 1
Ga2 0.0000 0.2816 0.5000 1
Ge1 0.0000 0.4174 0.5000 1